# LiTcRh2

A relaxed structure of LiTcRh2 (PBE, Alexandria).

Cell and atoms, written as extended XYZ:
```
4
Lattice="1.3842 -2.2658 0.0000 1.3842 2.2658 0.0000 0.0000 0.0000 9.1598" Properties=species:S:1:pos:R:3 pbc="T T T"
Li 0.0000 0.0000 0.0000
Tc 1.3842 0.0000 2.4035
Rh 0.0000 0.0000 4.6339
Rh 1.3842 0.0000 6.9846
```

Formation enthalpy at 0 K, meV per atom: 161
VASP energy, eV/atom: -6.585
Fermi-level density of states, states/eV per atom: 1.344
Symmetry: Cmm2 (35)

# Li2TcRh2

A relaxed structure of Li2TcRh2 (PBE, Alexandria).

Cell and atoms, written as extended XYZ:
```
10
Lattice="6.7142 0.0000 0.0000 0.0000 6.7142 0.0000 0.0000 0.0000 2.7873" Properties=species:S:1:pos:R:3 pbc="T T T"
Li 0.7424 2.6147 0.0000
Li 2.6147 5.9718 0.0000
Li 4.0996 0.7424 0.0000
Li 5.9718 4.0996 0.0000
Tc 0.0000 0.0000 0.0000
Tc 3.3571 3.3571 0.0000
Rh 1.2823 4.6395 1.3937
Rh 2.0748 1.2823 1.3937
Rh 4.6395 5.4319 1.3937
Rh 5.4319 2.0748 1.3937
```

Formation enthalpy at 0 K, meV per atom: 117
VASP energy, eV/atom: -5.662
Fermi-level density of states, states/eV per atom: 0.889
Symmetry: P4/mbm (127)

# Li2TcRh

A relaxed structure of Li2TcRh (PBE, Alexandria).

Cell and atoms, written as extended XYZ:
```
4
Lattice="1.4145 -2.2657 0.0000 1.4145 2.2657 0.0000 0.0000 0.0000 9.3308" Properties=species:S:1:pos:R:3 pbc="T T T"
Li 0.0000 0.0000 0.0000
Li 1.4145 0.0000 2.6229
Tc 1.4145 0.0000 7.0061
Rh 0.0000 0.0000 4.8001
```

Formation enthalpy at 0 K, meV per atom: 124
VASP energy, eV/atom: -5.262
Fermi-level density of states, states/eV per atom: 0.701
Symmetry: Cmm2 (35)

# Li2TcRh

A relaxed structure of Li2TcRh (PBE, Alexandria).

Cell and atoms, written as extended XYZ:
```
4
Lattice="4.7095 -1.3526 0.0000 4.7095 1.3526 0.0000 -0.9534 0.0000 4.3848" Properties=species:S:1:pos:R:3 pbc="T T T"
Li 2.0702 0.0000 1.0762
Li 6.3953 0.0000 3.3086
Tc -0.4767 0.0000 2.1924
Rh 4.7095 0.0000 0.0000
```

Formation enthalpy at 0 K, meV per atom: 85
VASP energy, eV/atom: -5.301
Fermi-level density of states, states/eV per atom: 0.782
Symmetry: C2/m (12)

# LiTcRh2

A relaxed structure of LiTcRh2 (PBE, Alexandria).

Cell and atoms, written as extended XYZ:
```
4
Lattice="2.7341 0.0000 0.0000 0.0000 4.3164 0.0000 0.0000 0.0000 4.6526" Properties=species:S:1:pos:R:3 pbc="T T T"
Li 0.0000 0.0000 0.0000
Tc 0.0000 2.1582 1.6477
Rh 1.3671 0.0000 2.3914
Rh 1.3671 2.1582 4.1071
```

Formation enthalpy at 0 K, meV per atom: -50
VASP energy, eV/atom: -6.796
Fermi-level density of states, states/eV per atom: 1.198
Symmetry: Pmm2 (25)

# LiTc2Rh

A relaxed structure of LiTc2Rh (PBE, Alexandria).

Cell and atoms, written as extended XYZ:
```
4
Lattice="3.0027 0.0000 0.0000 0.0000 4.1018 0.0000 0.0000 0.0000 4.4826" Properties=species:S:1:pos:R:3 pbc="T T T"
Li 0.0000 0.0000 0.0000
Tc 0.0000 2.0509 2.2413
Tc 1.5014 0.0000 2.2413
Rh 1.5014 2.0509 0.0000
```

Formation enthalpy at 0 K, meV per atom: 125
VASP energy, eV/atom: -7.374
Fermi-level density of states, states/eV per atom: 0.909
Symmetry: Pmmm (47)

# LiTcTe2Rh

A relaxed structure of LiTcTe2Rh (PBE, Alexandria).

Cell and atoms, written as extended XYZ:
```
5
Lattice="4.7362 0.0000 0.0000 0.0000 4.7362 0.0000 0.0000 0.0000 4.1223" Properties=species:S:1:pos:R:3 pbc="T T T"
Li 0.0000 0.0000 0.0000
Tc 0.0000 0.0000 2.0611
Te 0.0000 2.3681 0.0000
Te 2.3681 0.0000 0.0000
Rh 2.3681 2.3681 2.0611
```

VASP energy, eV/atom: -4.307
Fermi-level density of states, states/eV per atom: 0.947
Symmetry: P4/mmm (123)
E_form (uncorrected), eV/atom: 0.876

# LiTcRhW

A relaxed structure of LiTcRhW (PBE, Alexandria).

Cell and atoms, written as extended XYZ:
```
4
Lattice="0.0000 3.0441 3.0441 3.0441 0.0000 3.0441 3.0441 3.0441 0.0000" Properties=species:S:1:pos:R:3 pbc="T T T"
Li 0.0000 0.0000 0.0000
Tc 4.5662 4.5662 4.5662
Rh 1.5221 1.5221 1.5221
W 3.0441 3.0441 3.0441
```

Formation enthalpy at 0 K, meV per atom: -45
VASP energy, eV/atom: -8.191
Fermi-level density of states, states/eV per atom: 0.779
Symmetry: F-43m (216)

# LiZnTcRh

A relaxed structure of LiZnTcRh (PBE, Alexandria).

Cell and atoms, written as extended XYZ:
```
4
Lattice="0.0000 3.0074 3.0074 3.0074 0.0000 3.0074 3.0074 3.0074 0.0000" Properties=species:S:1:pos:R:3 pbc="T T T"
Li 0.0000 0.0000 0.0000
Zn 4.5111 4.5111 4.5111
Tc 1.5037 1.5037 1.5037
Rh 3.0074 3.0074 3.0074
```

Formation enthalpy at 0 K, meV per atom: -35
VASP energy, eV/atom: -5.261
Fermi-level density of states, states/eV per atom: 0.888
Symmetry: F-43m (216)

# LiTe2Rh

A relaxed structure of LiTe2Rh (PBE, Alexandria).

Cell and atoms, written as extended XYZ:
```
4
Lattice="3.1884 0.0000 0.0000 0.0000 3.9175 0.0000 -0.1711 0.0000 7.3085" Properties=species:S:1:pos:R:3 pbc="T T T"
Li 0.0000 0.0000 0.0000
Te 1.5262 1.9588 1.8941
Te 1.4911 1.9588 5.4143
Rh 1.5086 0.0000 3.6542
```

VASP energy, eV/atom: -4.191
Fermi-level density of states, states/eV per atom: 0.444
Symmetry: P2/m (10)
E_form (uncorrected), eV/atom: -0.303

# LiTe2Rh

A relaxed structure of LiTe2Rh (PBE, Alexandria).

Cell and atoms, written as extended XYZ:
```
4
Lattice="-1.6497 2.0072 6.6432 1.6497 -2.0072 6.6432 1.6497 2.0072 -6.6432" Properties=species:S:1:pos:R:3 pbc="T T T"
Li 0.0000 0.0000 0.0000
Te 0.0000 0.0000 5.4039
Te 0.0000 2.0072 2.2520
Rh 1.6497 0.0000 3.2529
```

VASP energy, eV/atom: -4.233
Fermi-level density of states, states/eV per atom: 0.596
Symmetry: Imm2 (44)
E_form (uncorrected), eV/atom: -0.346

# LiTe2Rh

A relaxed structure of LiTe2Rh (PBE, Alexandria).

Cell and atoms, written as extended XYZ:
```
4
Lattice="-1.9459 2.9655 3.9707 1.9459 -2.9655 3.9707 1.9459 2.9655 -3.9707" Properties=species:S:1:pos:R:3 pbc="T T T"
Li 0.0000 0.0000 0.0000
Te 1.9459 0.0000 2.1962
Te 0.0000 2.9655 1.7745
Rh 0.0000 0.0000 3.9707
```

VASP energy, eV/atom: -4.121
Fermi-level density of states, states/eV per atom: 0.551
Symmetry: Immm (71)
E_form (uncorrected), eV/atom: -0.234

# LiTe4Rh

A relaxed structure of LiTe4Rh (PBE, Alexandria).

Cell and atoms, written as extended XYZ:
```
6
Lattice="0.0000 4.4455 4.4455 4.4455 0.0000 4.4455 4.4455 4.4455 0.0000" Properties=species:S:1:pos:R:3 pbc="T T T"
Li 0.0000 0.0000 0.0000
Te 3.3404 3.3404 3.3404
Te 5.5505 5.5505 3.3404
Te 5.5505 3.3404 5.5505
Te 3.3404 5.5505 5.5505
Rh 6.6682 6.6682 6.6682
```

VASP energy, eV/atom: -3.020
Fermi-level density of states, states/eV per atom: 1.673
Symmetry: F-43m (216)
E_form (uncorrected), eV/atom: 0.619

# LiTe2Rh

A relaxed structure of LiTe2Rh (PBE, Alexandria).

Cell and atoms, written as extended XYZ:
```
8
Lattice="-3.3030 3.3030 5.1886 3.3030 -3.3030 5.1886 3.3030 3.3030 -5.1886" Properties=species:S:1:pos:R:3 pbc="T T T"
Li 0.0000 0.0000 0.0000
Li 0.0000 3.3030 2.5943
Te 1.6515 -1.4431 3.8914
Te 1.8599 1.6515 1.2971
Te 1.6515 4.7461 -1.2971
Te 1.4431 1.6515 6.4857
Rh 3.3030 0.0000 2.5943
Rh 0.0000 0.0000 5.1886
```

VASP energy, eV/atom: -4.194
Fermi-level density of states, states/eV per atom: 0.359
Symmetry: I-42d (122)
E_form (uncorrected), eV/atom: -0.307

# LiTe2Rh

A relaxed structure of LiTe2Rh (PBE, Alexandria).

Cell and atoms, written as extended XYZ:
```
4
Lattice="1.8331 1.0584 8.3932 -1.8331 1.0584 8.3932 0.0000 -2.1167 8.3932" Properties=species:S:1:pos:R:3 pbc="T T T"
Li 0.0000 0.0000 0.0000
Te 0.0000 0.0000 6.5116
Te 0.0000 0.0000 11.8033
Rh 0.0000 0.0000 18.8506
```

VASP energy, eV/atom: -4.032
Fermi-level density of states, states/eV per atom: 0.830
Symmetry: R3m (160)
E_form (uncorrected), eV/atom: -0.145

# LiTe4Rh

A relaxed structure of LiTe4Rh (PBE, Alexandria).

Cell and atoms, written as extended XYZ:
```
12
Lattice="6.8088 0.0000 0.0000 0.0000 6.6021 0.0000 -0.2046 0.0000 6.6579" Properties=species:S:1:pos:R:3 pbc="T T T"
Li 0.0000 0.0000 0.0000
Li -0.1023 3.3010 3.3289
Te 0.8216 0.7347 2.5582
Te 0.7193 2.5664 5.8871
Te 2.5735 4.1681 2.4241
Te 2.4713 5.7350 5.7530
Te 4.1330 0.8671 0.9049
Te 4.0308 2.4339 4.2338
Te 5.8850 4.0357 0.7708
Te 5.7827 5.8674 4.0997
Rh 3.3021 0.0000 3.3289
Rh 3.4044 3.3010 0.0000
```

VASP energy, eV/atom: -4.094
Fermi-level density of states, states/eV per atom: 0.151
Symmetry: P2_1/c (14)
E_form (uncorrected), eV/atom: -0.456

# LiTe2Rh

A relaxed structure of LiTe2Rh (PBE, Alexandria).

Cell and atoms, written as extended XYZ:
```
4
Lattice="4.1576 0.0000 0.0000 0.0000 1.8835 5.0649 0.0000 -1.8835 5.0649" Properties=species:S:1:pos:R:3 pbc="T T T"
Li 0.0000 0.0000 0.0000
Te 0.0000 0.0000 7.3698
Te 2.0788 0.0000 4.5337
Rh 2.0788 0.0000 1.7148
```

VASP energy, eV/atom: -4.244
Fermi-level density of states, states/eV per atom: 0.452
Symmetry: Amm2 (38)
E_form (uncorrected), eV/atom: -0.356

# LiTe3Rh

A relaxed structure of LiTe3Rh (PBE, Alexandria).

Cell and atoms, written as extended XYZ:
```
5
Lattice="5.2888 0.0000 0.0000 0.0000 5.2888 0.0000 0.0000 0.0000 5.2888" Properties=species:S:1:pos:R:3 pbc="T T T"
Li 0.0000 0.0000 0.0000
Te 0.0000 2.6444 2.6444
Te 2.6444 0.0000 2.6444
Te 2.6444 2.6444 0.0000
Rh 2.6444 2.6444 2.6444
```

VASP energy, eV/atom: -3.669
Fermi-level density of states, states/eV per atom: 1.763
Symmetry: Pm-3m (221)
E_form (uncorrected), eV/atom: 0.069

# LiTe2Rh

A relaxed structure of LiTe2Rh (PBE, Alexandria).

Cell and atoms, written as extended XYZ:
```
4
Lattice="0.0000 3.4865 3.4865 3.4865 0.0000 3.4865 3.4865 3.4865 0.0000" Properties=species:S:1:pos:R:3 pbc="T T T"
Li 0.0000 0.0000 0.0000
Te 1.7433 1.7433 1.7433
Te 3.4865 3.4865 3.4865
Rh 5.2298 5.2298 5.2298
```

VASP energy, eV/atom: -3.700
Fermi-level density of states, states/eV per atom: 0.752
Symmetry: F-43m (216)
E_form (uncorrected), eV/atom: 0.188

# LiTe2Rh

A relaxed structure of LiTe2Rh (PBE, Alexandria).

Cell and atoms, written as extended XYZ:
```
4
Lattice="2.0190 1.1656 6.5388 -2.0190 1.1656 6.5388 0.0000 -2.3313 6.5388" Properties=species:S:1:pos:R:3 pbc="T T T"
Li 0.0000 0.0000 0.0000
Te 0.0000 0.0000 4.6277
Te 0.0000 0.0000 14.9886
Rh 0.0000 0.0000 9.8081
```

VASP energy, eV/atom: -4.412
Fermi-level density of states, states/eV per atom: 0.217
Symmetry: R-3m (166)
E_form (uncorrected), eV/atom: -0.525